! Sr2In2Hg (PBE, optimized geometry); values from VASP
! Crystal system: tetragonal
! Magnetic moment: 0.0 μB per cell
! V: 34.8 Å³ per atom
! Calculated formation energy: -0.2655 eV/atom
! Distance to the lowest polymorph of the same formula: 0.89 eV/f.u.
&SYSTEM
  ibrav = 0, nat = 5, ntyp = 3
/
ATOMIC_SPECIES
In 114.82 In.upf
Hg 200.59 Hg.upf
Sr 87.62 Sr.upf
CELL_PARAMETERS angstrom
-0.1268 3.1910 -2.7555
-4.2102 -0.2408 -0.0850
-2.6822 7.8453 5.9804
ATOMIC_POSITIONS crystal
In 0.2500 0.7500 0.5000
Hg 0.0000 0.0000 0.0000
Sr 0.4020 0.4020 0.1960
Sr 0.5980 0.5980 0.8040
In 0.7500 0.2500 0.5000

---

! Sr6InHg5 (PBE, optimized geometry); values from VASP
! Crystal system: monoclinic
! Magnetic moment: 0.0 μB per cell
! V: 32.5 Å³ per atom
! Calculated formation energy: -0.5177 eV/atom
&SYSTEM
  ibrav = 0, nat = 12, ntyp = 3
/
ATOMIC_SPECIES
Hg 200.59 Hg.upf
Sr 87.62 Sr.upf
In 114.82 In.upf
CELL_PARAMETERS angstrom
-2.2571 2.8348 4.3568
-6.4171 -4.9277 -0.1147
8.2614 -4.1902 3.3111
ATOMIC_POSITIONS crystal
Hg 0.6653 0.6654 0.3308
Hg 0.3347 0.3346 0.6692
Sr 0.8322 0.5807 0.6643
Sr 0.4999 0.7465 0.0000
Sr 0.8322 0.0837 0.6643
Hg 0.0000 0.5000 0.0000
Hg 0.6624 0.1624 0.3249
Sr 0.1678 0.9163 0.3357
Hg 0.3376 0.8376 0.6752
Sr 0.5001 0.2535 0.0000
Sr 0.1678 0.4193 0.3357
In 0.0000 0.0000 0.0000

---

| no. | uncorrected energy (eV per atom) |
| --- | --- |
| 1 | -2.094 |
| 2 | -1.713 |